(1)
# Sr3Sc2UN6

A geometry-optimized Sr3Sc2UN6 structure (PBE, the Alexandria database).

Structure (CIF):
```
data_Sr3Sc2UN6
_chemical_formula_sum 'Sr6 Sc4 U2 N12'
_space_group_name_H-M_alt 'C 1 2/m 1'
_space_group_IT_number 12
_cell_length_a 5.936
_cell_length_b 10.282
_cell_length_c 6.243
_cell_angle_alpha 90.00
_cell_angle_beta 108.38
_cell_angle_gamma 90.00
loop_
_space_group_symop_operation_xyz
'x,y,z'
'-x,-y,-z'
'-x,y,-z'
'x,-y,z'
'x+1/2,y+1/2,z'
'-x+1/2,-y+1/2,-z'
'-x+1/2,y+1/2,-z'
'x+1/2,-y+1/2,z'
loop_
_atom_site_label
_atom_site_type_symbol
_atom_site_fract_x
_atom_site_fract_y
_atom_site_fract_z
Sr1 Sr 0.000 0.000 0.000
Sr2 Sr 0.000 0.328 0.000
Sc1 Sc 0.000 0.166 0.500
U1 U 0.000 0.500 0.500
N1 N 0.226 0.340 0.699
N2 N 0.247 0.000 0.700
```

Output
The calculation puts the electronic total energy at -189.09 eV per cell.

=====

(2)
# Sr2ScWN

A geometry-optimized Sr2ScWN structure (PBE, the Alexandria database).

Structure (CIF):
```
data_Sr2ScWN
_chemical_formula_sum 'Sr2 Sc1 W1 N1'
_space_group_name_H-M_alt 'P 4/m m m'
_space_group_IT_number 123
_space_group_name_Hall '-P 4 2'
_cell_length_a 5.364
_cell_length_b 5.364
_cell_length_c 4.262
_cell_angle_alpha 90.00
_cell_angle_beta 90.00
_cell_angle_gamma 90.00
loop_
_atom_site_label
_atom_site_type_symbol
_atom_site_fract_x
_atom_site_fract_y
_atom_site_fract_z
Sr1 Sr 0.000 0.500 0.000
Sc1 Sc 0.000 0.000 0.500
W1 W 0.500 0.500 0.500
N1 N 0.000 0.000 0.000
```

Output
The density of states at the Fermi level comes out at 4.968 states/eV per cell. The calculation puts the electronic total energy at -29.01 eV per cell.

=====

(3)
# SrZr2ScN

A geometry-optimized SrZr2ScN structure (PBE, the Alexandria database).

Structure (CIF):
```
data_SrZr2ScN
_chemical_formula_sum 'Sr1 Zr2 Sc1 N1'
_space_group_name_H-M_alt 'P 4/m m m'
_space_group_IT_number 123
_space_group_name_Hall '-P 4 2'
_cell_length_a 5.126
_cell_length_b 5.126
_cell_length_c 4.970
_cell_angle_alpha 90.00
_cell_angle_beta 90.00
_cell_angle_gamma 90.00
loop_
_atom_site_label
_atom_site_type_symbol
_atom_site_fract_x
_atom_site_fract_y
_atom_site_fract_z
Sr1 Sr 0.000 0.000 0.000
Zr1 Zr 0.000 0.500 0.000
Sc1 Sc 0.000 0.000 0.500
N1 N 0.500 0.500 0.500
```

Output
The density of states at the Fermi level comes out at 6.566 states/eV per cell. The calculation puts the electronic total energy at -19.75 eV per cell.

=====

Calculated volume for the records above, in order: 15.07; 24.52; 26.13 Å³/atom